Compound: Nd5Dy4Hg
Source: Alexandria
Functional: PBE-GGA
Structure: optimized geometry

Cell and atoms, written as POSCAR:
```
Nd5Dy4Hg
1.0
-1.161 3.293 -1.069
-2.491 -1.578 -2.154
-16.011 0.295 18.297
Nd Dy Hg
5 4 1
Direct
0.500 0.500 0.293
0.500 0.500 0.707
0.500 0.500 0.914
0.500 0.500 0.500
0.500 0.500 0.086
0.000 0.000 0.397
0.000 0.000 0.810
0.000 0.000 0.603
0.000 0.000 0.190
0.000 0.000 0.000
```

SG = P4/mmm, No. 123
ΔH_f (0 K) = -0.0742 eV per atom

=====

Compound: LiMg2Zn
Source: Alexandria
Functional: PBE-GGA
Structure: optimized geometry

Cell and atoms, written as POSCAR:
```
LiMg2Zn
1.0
3.177 0.000 0.000
0.000 3.177 0.000
0.000 0.000 7.508
Mg Li Zn
2 1 1
Direct
0.000 0.000 0.485
0.000 0.000 0.015
0.500 0.500 0.750
0.500 0.500 0.250
```

SG = P4/mmm, No. 123
ΔH_f (0 K) = -0.0897 eV per atom

=====

Compound: InHgSb2
Source: Alexandria
Functional: PBE-GGA
Structure: optimized geometry

Cell and atoms, written as POSCAR:
```
InHgSb2
1.0
-1.492 -2.825 0.301
1.500 -0.461 -2.799
8.659 -4.006 5.301
Sb Hg In
2 1 1
Direct
0.000 0.000 0.989
0.000 0.000 0.511
0.500 0.500 0.250
0.500 0.500 0.750
```

Energy above the lowest structure with this stoichiometry = 108.7 meV per atom
SG = Cmmm, No. 65
E_form (uncorrected) = 15 kJ per mole of atoms

=====

DOS at the Fermi energy / states/eV/cell: 13.71 0.65 2.00
Total magnetization / Bohr magnetons per cell: 0.00 0.00 0.00